1.
VASP calculation (PBE-GGA) on a relaxed LaFeHg2 crystal.

```
4
Lattice="-0.4730 -4.5620 -0.7857 0.8587 -0.7473 3.8222 -4.6496 -0.0419 3.0422" Properties=species:S:1:pos:R:3 pbc="T T T"
Fe -3.0797 -2.8729 4.7555
Hg -1.9973 -0.4735 3.9519
Hg -3.6892 -0.7102 6.3447
La -1.1842 -2.4783 1.3233
```

Properties
space group: No. 10
total DFT energy (no corrections): -3.424 eV/atom
size of the total moment: 1.923 μB/f.u.
energy of formation from the pure elements: 0.0743 eV/atom


2.
VASP calculation (PBE-GGA) on a relaxed CaLa2Pm3N6 crystal.

```
12
Lattice="-1.9014 2.1951 2.2157 -6.2437 -2.8507 -2.5337 2.7591 -5.7631 5.0661" Properties=species:S:1:pos:R:3 pbc="T T T"
Pm -4.6247 -3.9135 -0.0915
Pm -0.7612 -2.5051 4.8396
Pm -4.0725 -0.3278 -0.1590
N -1.3622 -4.2914 3.0825
N -0.8461 -0.7341 3.0122
N -4.5398 -5.6845 1.7359
N -4.0237 -2.1273 1.6656
N -4.6170 -2.1209 -1.8608
N -0.7689 -4.2977 6.6089
La -1.4458 -2.4605 1.1969
La -3.9401 -3.9582 3.5512
Ca -0.9507 1.0975 1.1079
```

Properties
space group: No. 12
total DFT energy (no corrections): -7.568 eV/atom
size of the total moment: 0.001 μB/f.u.


3.
VASP calculation (PBE-GGA) on a relaxed PrTl2F4 crystal.

```
7
Lattice="-4.4936 0.9393 -0.7436 -1.1974 -3.4332 2.8994 -2.7723 4.7249 8.1796" Properties=species:S:1:pos:R:3 pbc="T T T"
F -0.5987 -1.7166 1.4497
F -2.2468 0.4697 -0.3718
F -5.6729 -1.0120 3.9181
F -2.7905 3.2430 6.4173
Tl -5.6541 0.5147 5.7336
Tl -2.8092 1.7163 4.6018
Pr 0.0000 0.0000 0.0000
```

Properties
space group: No. 139
total DFT energy (no corrections): -5.129 eV/atom
size of the total moment: 0.000 μB/f.u.


4.
VASP calculation (PBE-GGA) on a relaxed TbCd2Rh crystal.

```
4
Lattice="3.0926 0.0000 0.0000 1.5463 2.6782 0.0000 1.5463 0.8927 10.6946" Properties=species:S:1:pos:R:3 pbc="T T T"
Tb 0.0000 0.0000 0.0000
Cd 1.5463 0.8928 7.5339
Cd 4.6389 2.6782 3.1607
Rh 3.0926 1.7855 5.3473
```

Properties
space group: No. 166
total DFT energy (no corrections): -3.239 eV/atom
size of the total moment: 0.000 μB/f.u.
energy of formation from the pure elements: 0.2144 eV/atom


5.
VASP calculation (PBE-GGA) on a relaxed SrPrSmTm crystal.

```
4
Lattice="-5.3812 0.8630 2.3480 -4.7483 0.4134 -3.5352 -4.0154 -4.3683 -0.0982" Properties=species:S:1:pos:R:3 pbc="T T T"
Sm -7.0725 -1.5459 -0.6427
Sr -3.5362 -0.7730 -0.3213
Pr 0.0000 0.0000 0.0000
Tm -10.6087 -2.3189 -0.9640
```

Properties
space group: No. 216
total DFT energy (no corrections): -3.699 eV/atom
size of the total moment: 0.000 μB/f.u.
energy of formation from the pure elements: 0.2144 eV/atom


6.
VASP calculation (PBE-GGA) on a relaxed Al8CrOs2 crystal.

```
11
Lattice="-0.9890 2.4558 -3.0862 -3.8565 -5.6874 -3.2898 -2.0295 3.1181 5.8102" Properties=species:S:1:pos:R:3 pbc="T T T"
Al -1.2544 0.4233 0.7388
Al -2.6072 -3.8450 -2.2241
Al -3.8668 -0.1944 1.0845
Al -5.6206 -0.5368 -1.3046
Al -3.2788 1.2757 4.7445
Al -4.6627 -2.3590 -3.0616
Al -3.0082 0.0809 -1.6503
Al -2.2123 2.2456 2.4958
Os -3.0737 2.0982 -0.0241
Os -3.8013 -2.2117 -0.5418
Cr -0.4945 1.2279 -1.5431
```

Properties
space group: No. 71
total DFT energy (no corrections): -5.973 eV/atom
size of the total moment: 1.647 μB/f.u.
energy of formation from the pure elements: -0.3345 eV/atom


7.
VASP calculation (PBE-GGA) on a relaxed NdZn6Cu crystal.

```
8
Lattice="-1.7004 -3.7346 0.8008 3.7968 -1.7482 -0.0908 0.8176 1.3569 8.0642" Properties=species:S:1:pos:R:3 pbc="T T T"
Cu 0.4088 0.6784 4.0321
Zn 2.4436 0.0308 5.3323
Zn 1.7438 -1.5870 7.2155
Zn 1.1702 -2.5388 1.5587
Zn -0.5778 -1.4153 3.0869
Zn -0.3049 -0.9625 5.7781
Zn 2.1708 -0.4220 2.6411
Nd 0.0000 0.0000 0.0000
```

Properties
space group: No. 123
total DFT energy (no corrections): -2.238 eV/atom
size of the total moment: 0.000 μB/f.u.
energy of formation from the pure elements: -0.1742 eV/atom


8.
VASP calculation (PBE-GGA) on a relaxed Cu3Mo crystal.

```
4
Lattice="2.5313 0.0000 0.0000 -1.2656 4.3606 0.0256 0.0000 -0.6995 4.7484" Properties=species:S:1:pos:R:3 pbc="T T T"
Cu 1.2656 -0.3368 2.4113
Cu 1.2656 3.6482 4.7369
Cu 0.0000 1.6557 3.5741
Mo 1.2656 2.0054 1.1999
```

Properties
space group: No. 12
total DFT energy (no corrections): -5.524 eV/atom
size of the total moment: 0.000 μB/f.u.
energy of formation from the pure elements: 0.2558 eV/atom


9.
VASP calculation (PBE-GGA) on a relaxed Ac2Zn5Pt5 crystal.

```
12
Lattice="4.3050 0.0000 0.0000 0.0000 5.4914 0.0000 0.0000 0.0000 9.8100" Properties=species:S:1:pos:R:3 pbc="T T T"
Zn 2.1525 1.3621 7.3699
Zn 2.1525 2.7457 4.9050
Zn 2.1525 4.1293 7.3699
Zn 2.1525 1.3621 2.4401
Zn 2.1525 4.1293 2.4401
Pt 0.0000 0.0000 8.0537
Pt 0.0000 2.7457 3.2542
Pt 0.0000 0.0000 1.7563
Pt 2.1525 0.0000 0.0000
Pt 0.0000 2.7457 6.5558
Ac 0.0000 0.0000 4.9050
Ac 0.0000 2.7457 0.0000
```

Properties
space group: No. 47
total DFT energy (no corrections): -4.465 eV/atom
size of the total moment: 0.000 μB/f.u.
energy of formation from the pure elements: -0.7322 eV/atom


10.
VASP calculation (PBE-GGA) on a relaxed Rb3ZrTc crystal.

```
5
Lattice="6.8980 0.0000 0.0000 0.0000 6.8980 0.0000 0.0000 0.0000 6.8980" Properties=species:S:1:pos:R:3 pbc="T T T"
Rb 3.4490 0.0000 0.0000
Rb 0.0000 0.0000 3.4490
Rb 0.0000 3.4490 0.0000
Zr 0.0000 0.0000 0.0000
Tc 3.4490 3.4490 3.4490
```

Properties
space group: No. 221
total DFT energy (no corrections): -2.268 eV/atom
size of the total moment: 8.545 μB/f.u.
energy of formation from the pure elements: 2.0951 eV/atom


11.
VASP calculation (PBE-GGA) on a relaxed Tl2CuBSe4 crystal.

```
8
Lattice="6.8401 0.0016 -0.0034 -0.0001 6.8385 -0.0032 -3.4173 -3.4180 4.1092" Properties=species:S:1:pos:R:3 pbc="T T T"
Se 1.9986 4.4695 0.8484
Se -2.3693 -1.9967 3.0245
Se 4.8414 2.3722 0.8459
Se 2.3734 1.9990 3.0218
Tl 0.0017 0.0015 1.9368
Tl 0.0022 3.4213 3.9866
Cu 3.4241 0.0029 3.9913
B 3.4210 3.4202 1.9339
```

Properties
space group: No. 82
total DFT energy (no corrections): -3.867 eV/atom
size of the total moment: 0.000 μB/f.u.


12.
VASP calculation (PBE-GGA) on a relaxed CoCuRh crystal.

```
6
Lattice="-1.6253 1.1502 -1.8128 -2.5430 -3.6970 1.9342 -0.8654 4.8366 3.8447" Properties=species:S:1:pos:R:3 pbc="T T T"
Rh -4.2105 -1.4394 0.8618
Rh -0.8232 3.7292 3.1042
Co -2.8074 2.3338 3.9977
Co -2.2264 -0.0440 -0.0317
Cu -2.2809 2.2601 1.4791
Cu -2.7528 0.0296 2.4869
```

Properties
space group: No. 12
total DFT energy (no corrections): -6.099 eV/atom
size of the total moment: 2.581 μB/f.u.
energy relative to the lowest polymorph listed for this composition: 2.3 kJ/mol of formula units
energy of formation from the pure elements: 0.0859 eV/atom